1.
BaLi2Pt: relaxed, PBEsol.

## Properties
Energy relative to the lowest polymorph listed for this composition (eV per atom): 0.0501
Space group: No. 6
Energy (eV per atom): -3.5886

a = 4.045 Å, b = 4.101 Å, c = 6.613 Å
α = 90.00°, β = 107.52°, γ = 90.00°
Positions (direct):
Li  0.547  0.500  0.215
Li  0.029  0.000  0.181
Pt  0.659  0.000  0.445
Ba  0.265  0.500  0.659

2.
Ba2CoTe: relaxed, PBEsol.

## Properties
Space group: No. 99
Formation energy (no corrections) (kJ/mol of formula units): -88
Energy (eV per atom): -4.1172

a = 4.770 Å, b = 4.770 Å, c = 6.732 Å
α = 90.00°, β = 90.00°, γ = 90.00°
Site moments in Bohr magnetons follow the coordinates.
Positions (direct):
Te  0.500  0.500  0.875  0.00
Ba  0.000  0.000  0.877  -0.04
Ba  0.500  0.500  0.375  -0.10
Co  0.000  0.000  0.374  1.55

3.
SrLa3: relaxed, PBEsol.

## Properties
Space group: No. 123
Energy (eV per atom): -4.4006

a = 3.700 Å, b = 3.700 Å, c = 10.899 Å
α = 90.00°, β = 90.00°, γ = 90.00°
Positions (direct):
Sr  0.500  0.500  0.500
La  0.000  0.000  0.221
La  0.000  0.000  0.779
La  0.500  0.500  0.000